Crystalline Be2InRhW at its relaxed geometry. Source: the Alexandria database, functional PBE-GGA.

The structure in POSCAR format:
```
Be2InRhW
1.0
4.2017 0.0000 0.0000
0.0000 4.2017 0.0000
0.0000 0.0000 5.1313
Be In Rh W
2 1 1 1
Cartesian
0.0000 2.1009 0.0000
2.1009 0.0000 0.0000
0.0000 0.0000 0.0000
2.1009 2.1009 2.5656
0.0000 0.0000 2.5656
```

- Total magnetization: 0.0 μB/f.u.
- E: -4.29 eV per atom
- ΔE_f: 1.81 eV per atom